{"formula": "LaDy3Pb2", "functional": "PBE", "state": "optimized geometry", "lattice_angstrom": [[9.2278, -2.3383, 0.0000], [9.2278, 2.3383, 0.0000], [-3.8379, 0.0000, 8.8427]], "species": ["La", "La", "Dy", "Dy", "Dy", "Dy", "Dy", "Dy", "Pb", "Pb", "Pb", "Pb"], "fractional_positions": [[0.1149, 0.1149, 0.1377], [0.8851, 0.8851, 0.8623], [0.0582, 0.0582, 0.6876], [0.3063, 0.3063, 0.1137], [0.3601, 0.3601, 0.5166], [0.6399, 0.6399, 0.4834], [0.6937, 0.6937, 0.8863], [0.9418, 0.9418, 0.3124], [0.2420, 0.2420, 0.7047], [0.4876, 0.4876, 0.1505], [0.5124, 0.5124, 0.8495], [0.7580, 0.7580, 0.2953]], "e_form_ev_per_atom": -0.3523, "sg": "C2/m", "energy_ev_per_atom": -4.7107, "n_ef_per_ev_cell": 14.661, "m_tot_mub_per_fu": 0.0, "crystal_system": "monoclinic", "e_above_lowest_polymorph_kcal_per_mol_atoms": 0.98}



{"formula": "LaDy3Pb2", "functional": "PBE", "state": "optimized geometry", "lattice_angstrom": [[4.6013, 0.0000, 0.0000], [0.0000, 4.6013, 0.0000], [0.0000, 0.0000, 8.7341]], "species": ["La", "Dy", "Dy", "Dy", "Pb", "Pb"], "fractional_positions": [[0.0000, 0.0000, 0.0000], [0.0000, 0.5000, 0.3456], [0.5000, 0.0000, 0.6544], [0.5000, 0.5000, 0.0000], [0.0000, 0.5000, 0.7092], [0.5000, 0.0000, 0.2908]], "e_form_ev_per_atom": -0.3950, "sg": "P-4m2", "energy_ev_per_atom": -4.7534, "n_ef_per_ev_cell": 5.732, "m_tot_mub_per_fu": 0.0, "crystal_system": "tetragonal", "e_above_lowest_polymorph_kcal_per_mol_atoms": 0.00}



{"formula": "La2DyPb", "functional": "PBE", "state": "optimized geometry", "lattice_angstrom": [[4.9433, 0.0000, 0.0000], [0.0000, 4.9433, 0.0000], [0.0000, 0.0000, 5.1295]], "species": ["La", "La", "Dy", "Pb"], "fractional_positions": [[0.0000, 0.5000, 0.0000], [0.5000, 0.0000, 0.0000], [0.0000, 0.0000, 0.5000], [0.5000, 0.5000, 0.5000]], "e_form_ev_per_atom": -0.3434, "sg": "P4/mmm", "energy_ev_per_atom": -4.8847, "n_ef_per_ev_cell": 4.834, "m_tot_mub_per_fu": 0.0, "crystal_system": "tetragonal", "e_above_lowest_polymorph_kcal_per_mol_atoms": 0.00}



{"formula": "LaDyPb2", "functional": "PBE", "state": "optimized geometry", "lattice_angstrom": [[2.4229, 1.3988, 6.9467], [-2.4229, 1.3988, 6.9467], [0.0000, -2.7977, 6.9467]], "species": ["La", "Dy", "Pb", "Pb"], "fractional_positions": [[0.0000, 0.0000, 0.0000], [0.1754, 0.1754, 0.1754], [0.4267, 0.4267, 0.4267], [0.5804, 0.5804, 0.5804]], "e_form_ev_per_atom": -0.3722, "sg": "R3m", "energy_ev_per_atom": -4.6087, "n_ef_per_ev_cell": 3.476, "m_tot_mub_per_fu": 0.0, "crystal_system": "trigonal"}



{"formula": "La2Dy3Pb4", "functional": "PBE", "state": "optimized geometry", "lattice_angstrom": [[3.6102, -8.7611, 0.0000], [3.6102, 8.7611, 0.0000], [0.0000, 0.0000, 9.0881]], "species": ["La", "La", "La", "La", "Dy", "Dy", "Dy", "Dy", "Dy", "Dy", "Pb", "Pb", "Pb", "Pb", "Pb", "Pb", "Pb", "Pb"], "fractional_positions": [[0.1111, 0.8889, 0.9117], [0.3889, 0.6111, 0.4117], [0.6111, 0.3889, 0.5883], [0.8889, 0.1111, 0.0883], [0.0000, 0.0000, 0.5000], [0.0427, 0.4573, 0.7500], [0.4573, 0.0427, 0.2500], [0.5000, 0.5000, 0.0000], [0.5427, 0.9573, 0.7500], [0.9573, 0.5427, 0.2500], [0.1859, 0.8141, 0.5547], [0.2174, 0.2826, 0.7500], [0.2826, 0.2174, 0.2500], [0.3141, 0.6859, 0.0547], [0.6859, 0.3141, 0.9453], [0.7174, 0.7826, 0.7500], [0.7826, 0.7174, 0.2500], [0.8141, 0.1859, 0.4453]], "e_form_ev_per_atom": -0.5014, "sg": "Cmce", "energy_ev_per_atom": -4.7786, "n_ef_per_ev_cell": 9.510, "m_tot_mub_per_fu": 0.0, "crystal_system": "orthorhombic", "e_above_lowest_polymorph_kcal_per_mol_atoms": 2.78}



{"formula": "La5DyPb5", "functional": "PBE", "state": "optimized geometry", "lattice_angstrom": [[7.5386, -3.2655, 0.0000], [7.5386, 3.2655, 0.0000], [-2.6607, 0.0000, 8.4215]], "species": ["La", "La", "La", "La", "La", "Dy", "Pb", "Pb", "Pb", "Pb", "Pb"], "fractional_positions": [[0.0000, 0.0000, 0.0000], [0.3281, 0.3281, 0.1696], [0.3349, 0.3349, 0.6711], [0.6651, 0.6651, 0.3289], [0.6719, 0.6719, 0.8304], [0.0000, 0.0000, 0.5000], [0.1612, 0.1612, 0.3394], [0.1617, 0.1617, 0.8294], [0.5000, 0.5000, 0.5000], [0.8383, 0.8383, 0.1706], [0.8388, 0.8388, 0.6606]], "e_form_ev_per_atom": -0.3690, "sg": "C2/m", "energy_ev_per_atom": -4.7128, "n_ef_per_ev_cell": 12.130, "m_tot_mub_per_fu": 0.4, "crystal_system": "monoclinic"}



{"formula": "La3DyPb2", "functional": "PBE", "state": "optimized geometry", "lattice_angstrom": [[5.0285, 0.0000, 0.0000], [0.0000, 4.6102, 0.0000], [-2.5102, 0.0000, 8.3384]], "species": ["La", "La", "La", "Dy", "Pb", "Pb"], "fractional_positions": [[0.0000, 0.0000, 0.0000], [0.3211, 0.0000, 0.6400], [0.6789, 0.0000, 0.3600], [0.5000, 0.5000, 0.0000], [0.1461, 0.5000, 0.2940], [0.8539, 0.5000, 0.7060]], "e_form_ev_per_atom": -0.4374, "sg": "P2/m", "energy_ev_per_atom": -4.9042, "n_ef_per_ev_cell": 7.352, "m_tot_mub_per_fu": 0.0, "crystal_system": "monoclinic", "e_above_lowest_polymorph_kcal_per_mol_atoms": 0.44}



{"formula": "La2DyPb", "functional": "PBE", "state": "optimized geometry", "lattice_angstrom": [[1.9043, 1.0994, 10.7751], [-1.9043, 1.0994, 10.7751], [0.0000, -2.1989, 10.7751]], "species": ["La", "La", "Dy", "Pb"], "fractional_positions": [[0.0000, 0.0000, 0.0000], [0.1717, 0.1717, 0.1717], [0.7520, 0.7520, 0.7520], [0.5861, 0.5861, 0.5861]], "e_form_ev_per_atom": -0.1258, "sg": "R3m", "energy_ev_per_atom": -4.6671, "n_ef_per_ev_cell": 6.001, "m_tot_mub_per_fu": 0.4, "crystal_system": "trigonal", "e_above_lowest_polymorph_kcal_per_mol_atoms": 5.02}



{"formula": "La15Dy2Pb2", "functional": "PBE", "state": "optimized geometry", "lattice_angstrom": [[5.2796, 3.0482, 6.8856], [-5.2796, 3.0482, 6.8856], [0.0000, -6.0964, 6.8856]], "species": ["La", "La", "La", "La", "La", "La", "La", "La", "La", "La", "La", "La", "La", "La", "La", "Dy", "Dy", "Pb", "Pb"], "fractional_positions": [[0.0000, 0.0000, 0.5000], [0.0000, 0.2937, 0.7063], [0.0000, 0.5000, 0.0000], [0.0000, 0.7063, 0.2937], [0.1938, 0.5446, 0.5446], [0.2937, 0.0000, 0.7063], [0.2937, 0.7063, 0.0000], [0.4554, 0.4554, 0.8062], [0.4554, 0.8062, 0.4554], [0.5000, 0.0000, 0.0000], [0.5446, 0.1938, 0.5446], [0.5446, 0.5446, 0.1938], [0.7063, 0.0000, 0.2937], [0.7063, 0.2937, 0.0000], [0.8062, 0.4554, 0.4554], [0.2787, 0.2787, 0.2787], [0.7213, 0.7213, 0.7213], [0.0922, 0.0922, 0.0922], [0.9078, 0.9078, 0.9078]], "e_form_ev_per_atom": 0.0862, "sg": "R-3m", "energy_ev_per_atom": -4.6787, "n_ef_per_ev_cell": 25.401, "m_tot_mub_per_fu": 0.0, "crystal_system": "trigonal"}



{"formula": "La2DyPb", "functional": "PBE", "state": "optimized geometry", "lattice_angstrom": [[1.8177, 1.0495, 12.4711], [-1.8177, 1.0495, 12.4711], [0.0000, -2.0989, 12.4711]], "species": ["La", "La", "Dy", "Pb"], "fractional_positions": [[0.0889, 0.0889, 0.0889], [0.9111, 0.9111, 0.9111], [0.5000, 0.5000, 0.5000], [0.0000, 0.0000, 0.0000]], "e_form_ev_per_atom": 0.0544, "sg": "R-3m", "energy_ev_per_atom": -4.4869, "n_ef_per_ev_cell": 4.594, "m_tot_mub_per_fu": 0.0, "crystal_system": "trigonal", "e_above_lowest_polymorph_kcal_per_mol_atoms": 9.17}



{"formula": "La2Dy3Pb4", "functional": "PBE", "state": "optimized geometry", "lattice_angstrom": [[8.5343, 0.0000, 0.0000], [0.0000, 8.5120, 0.0000], [-2.9978, 0.0000, 7.7342]], "species": ["La", "La", "La", "La", "Dy", "Dy", "Dy", "Dy", "Dy", "Dy", "Pb", "Pb", "Pb", "Pb", "Pb", "Pb", "Pb", "Pb"], "fractional_positions": [[0.1923, 0.1788, 0.0587], [0.1923, 0.3212, 0.5587], [0.8077, 0.6788, 0.4413], [0.8077, 0.8212, 0.9413], [0.2464, 0.6594, 0.2408], [0.2464, 0.8406, 0.7408], [0.5000, 0.0000, 0.5000], [0.5000, 0.5000, 0.0000], [0.7536, 0.1594, 0.2592], [0.7536, 0.3406, 0.7592], [0.0867, 0.5428, 0.8365], [0.0867, 0.9572, 0.3365], [0.4935, 0.1399, 0.8598], [0.4935, 0.3601, 0.3598], [0.5065, 0.6399, 0.6402], [0.5065, 0.8601, 0.1402], [0.9133, 0.0428, 0.6635], [0.9133, 0.4572, 0.1635]], "e_form_ev_per_atom": -0.6220, "sg": "P2_1/c", "energy_ev_per_atom": -4.8991, "n_ef_per_ev_cell": 13.262, "m_tot_mub_per_fu": 0.0, "crystal_system": "monoclinic", "e_above_lowest_polymorph_kcal_per_mol_atoms": 0.00}



What did the sixth record say?
{"formula": "La5DyPb5", "functional": "PBE", "state": "optimized geometry", "lattice_angstrom": [[7.5386, -3.2655, 0.0000], [7.5386, 3.2655, 0.0000], [-2.6607, 0.0000, 8.4215]], "species": ["La", "La", "La", "La", "La", "Dy", "Pb", "Pb", "Pb", "Pb", "Pb"], "fractional_positions": [[0.0000, 0.0000, 0.0000], [0.3281, 0.3281, 0.1696], [0.3349, 0.3349, 0.6711], [0.6651, 0.6651, 0.3289], [0.6719, 0.6719, 0.8304], [0.0000, 0.0000, 0.5000], [0.1612, 0.1612, 0.3394], [0.1617, 0.1617, 0.8294], [0.5000, 0.5000, 0.5000], [0.8383, 0.8383, 0.1706], [0.8388, 0.8388, 0.6606]], "e_form_ev_per_atom": -0.3690, "sg": "C2/m", "energy_ev_per_atom": -4.7128, "n_ef_per_ev_cell": 12.130, "m_tot_mub_per_fu": 0.4, "crystal_system": "monoclinic"}